(A)
A geometry-optimized HoTm6Th structure. Source: Alexandria via LeMat-Bulk, functional PBE.

Summary:
DOS(E_F) (states/eV per atom): 1.91

Structure (POSCAR):
```
HoTm6Th
1.0
6.4845 0.0000 0.0000
0.3502 6.6371 0.0000
0.4952 3.2921 5.7790
Ho Tm Th
1 6 1
Cartesian
0.0000 0.0000 0.0000
2.0261 5.4456 3.1226
1.8081 3.6282 0.2358
1.8995 2.0662 3.0117
5.4305 7.8630 2.7673
5.5219 6.3009 5.5432
5.3039 4.4835 2.6564
3.2423 0.0000 0.0000
```



(B)
A geometry-optimized HoTm6Th structure. Source: Alexandria via LeMat-Bulk, functional PBE.

Summary:
DOS(E_F) (states/eV per atom): 1.56

Structure (POSCAR):
```
HoTm6Th
1.0
4.9727 0.0000 0.0000
0.0000 4.9727 0.0000
0.0000 0.0000 9.8684
Ho Tm Th
1 6 1
Cartesian
0.0000 0.0000 0.0000
0.0000 2.4864 2.4769
0.0000 2.4864 7.3916
2.4864 0.0000 2.4769
2.4864 0.0000 7.3916
2.4864 2.4864 0.0000
2.4864 2.4864 4.9342
0.0000 0.0000 4.9342
```



Most stable one: (B), least stable one: (A).